(1)
# PrUSn2

PrUSn2 after structural relaxation (PBE-GGA, Alexandria via LeMat-Bulk).

The structure in extended XYZ format:
```
12
Lattice="3.2593 0.0000 0.0000 -1.6296 2.8226 0.0000 0.0000 0.0000 36.2778" Properties=species:S:1:pos:R:3 pbc="T T T"
Pr 0.0000 0.0000 0.0000
Pr 0.0000 1.8817 24.1852
Pr 1.6296 0.9409 12.0926
U 0.0000 0.0000 18.1389
U 0.0000 1.8817 6.0463
U 1.6296 0.9409 30.2315
Sn 0.0000 0.0000 3.2743
Sn 0.0000 0.0000 33.0035
Sn 0.0000 1.8817 20.9109
Sn 0.0000 1.8817 27.4595
Sn 1.6296 0.9409 8.8183
Sn 1.6296 0.9409 15.3669
```

Calculated values
The total moment is 7.08 Bohr magnetons per cell. The calculation puts the calculated formation energy at 0.57 eV/f.u. The space group is R-3m.



(2)
# Pr3USn12

Pr3USn12 after structural relaxation (PBE-GGA, Alexandria via LeMat-Bulk).

The structure in extended XYZ format:
```
16
Lattice="4.7521 0.0000 0.0000 0.0000 4.7521 0.0000 0.0000 0.0000 18.9742" Properties=species:S:1:pos:R:3 pbc="T T T"
Pr 0.0000 0.0000 0.0000
Pr 0.0000 0.0000 4.8767
Pr 0.0000 0.0000 14.0975
U 0.0000 0.0000 9.4871
Sn 0.0000 2.3760 2.4242
Sn 0.0000 2.3760 7.2381
Sn 0.0000 2.3760 11.7361
Sn 0.0000 2.3760 16.5500
Sn 2.3760 0.0000 2.4242
Sn 2.3760 0.0000 7.2381
Sn 2.3760 0.0000 11.7361
Sn 2.3760 0.0000 16.5500
Sn 2.3760 2.3760 0.0000
Sn 2.3760 2.3760 4.8027
Sn 2.3760 2.3760 9.4871
Sn 2.3760 2.3760 14.1714
```

Calculated values
The total moment is 2.41 Bohr magnetons per cell. The calculation puts the calculated formation energy at -6.63 eV/f.u. The space group is P4/mmm.



(3)
# Pr2USn

Pr2USn after structural relaxation (PBE-GGA, Alexandria via LeMat-Bulk).

The structure in extended XYZ format:
```
12
Lattice="3.3039 0.0000 0.0000 -1.6519 2.8612 0.0000 0.0000 0.0000 36.6438" Properties=species:S:1:pos:R:3 pbc="T T T"
Pr 0.0000 0.0000 3.3052
Pr 0.0000 0.0000 33.3385
Pr 0.0000 1.9075 21.1240
Pr 0.0000 1.9075 27.7344
Pr 1.6519 0.9537 8.9093
Pr 1.6519 0.9537 15.5198
U 0.0000 0.0000 0.0000
U 0.0000 1.9075 24.4292
U 1.6519 0.9537 12.2146
Sn 0.0000 0.0000 18.3219
Sn 0.0000 1.9075 6.1073
Sn 1.6519 0.9537 30.5365
```

Calculated values
The total moment is 5.90 Bohr magnetons per cell. The calculation puts the calculated formation energy at 1.13 eV/f.u. The space group is R-3m.



(4)
# PrU2Sn9

PrU2Sn9 after structural relaxation (PBE-GGA, Alexandria via LeMat-Bulk).

The structure in extended XYZ format:
```
12
Lattice="4.6764 0.0000 0.0000 0.0000 4.6764 0.0000 0.0000 0.0000 14.0924" Properties=species:S:1:pos:R:3 pbc="T T T"
Pr 0.0000 0.0000 0.0000
U 0.0000 0.0000 4.7798
U 0.0000 0.0000 9.3126
Sn 0.0000 2.3382 2.4575
Sn 0.0000 2.3382 7.0462
Sn 0.0000 2.3382 11.6349
Sn 2.3382 0.0000 2.4575
Sn 2.3382 0.0000 7.0462
Sn 2.3382 0.0000 11.6349
Sn 2.3382 2.3382 0.0000
Sn 2.3382 2.3382 4.7431
Sn 2.3382 2.3382 9.3493
```

Calculated values
The total moment is 4.83 Bohr magnetons per cell. The calculation puts the calculated formation energy at -3.04 eV/f.u. The space group is P4/mmm.



(5)
# PrVSn2

PrVSn2 after structural relaxation (PBE-GGA, Alexandria via LeMat-Bulk).

The structure in extended XYZ format:
```
12
Lattice="3.2588 0.0000 0.0000 -1.6294 2.8222 0.0000 0.0000 0.0000 32.7975" Properties=species:S:1:pos:R:3 pbc="T T T"
Pr 0.0000 0.0000 0.0000
Pr 0.0000 1.8815 21.8650
Pr 1.6294 0.9407 10.9325
V 0.0000 0.0000 16.3988
V 0.0000 1.8815 5.4663
V 1.6294 0.9407 27.3313
Sn 0.0000 0.0000 3.2838
Sn 0.0000 0.0000 29.5138
Sn 0.0000 1.8815 18.5812
Sn 0.0000 1.8815 25.1488
Sn 1.6294 0.9407 7.6487
Sn 1.6294 0.9407 14.2163
```

Calculated values
The total moment is 0.82 Bohr magnetons per cell. The calculation puts the calculated formation energy at 1.10 eV/f.u. The space group is R-3m.



(6)
# Pr2SnW

Pr2SnW after structural relaxation (PBE-GGA, Alexandria via LeMat-Bulk).

The structure in extended XYZ format:
```
12
Lattice="3.2368 0.0000 0.0000 -1.6184 2.8031 0.0000 0.0000 0.0000 34.6196" Properties=species:S:1:pos:R:3 pbc="T T T"
Pr 0.0000 0.0000 2.9405
Pr 0.0000 0.0000 31.6791
Pr 0.0000 1.8688 20.1392
Pr 0.0000 1.8688 26.0203
Pr 1.6184 0.9344 8.5993
Pr 1.6184 0.9344 14.4804
Sn 0.0000 0.0000 17.3098
Sn 0.0000 1.8688 5.7699
Sn 1.6184 0.9344 28.8496
W 0.0000 0.0000 0.0000
W 0.0000 1.8688 23.0797
W 1.6184 0.9344 11.5399
```

Calculated values
The total moment is 0.00 Bohr magnetons per cell. The calculation puts the calculated formation energy at 2.75 eV/f.u. The space group is R-3m.



calculated formation energy of number 4 (PrU2Sn9)? -3.04 eV/f.u.